Y3Bi2N: relaxed, GGA-PBE.

Results
Calculated volume: 25.95 A^3/atom
Formation energy from raw total energies: -537 kJ/mol of formula units
Symmetry: C2/c (15)
Calculated density: 7.5 g cm⁻³
Density of states at the Fermi level: 0.4773 states/eV per atom
Total moment: 0.00 μB per formula unit

Unit cell a=7.7495 b=7.7495 c=7.1857 alpha=103.28 beta=103.28 gamma=48.21
Last column: nearest neighbours and their distance in Å.
Positions (direct):
Y1 0.0773 0.9227 0.7500  1 N 2.33
Y2 0.3615 0.4028 0.4250  2 N 2.38-2.51
Y3 0.4028 0.3615 0.9250  2 N 2.38-2.51
Y4 0.5972 0.6385 0.0750  2 N 2.38-2.51
Y5 0.6385 0.5972 0.5750  2 N 2.38-2.51
Y6 0.9227 0.0773 0.2500  1 N 2.33
Bi1 0.1581 0.2072 0.0830  6 Y 3.12-3.32
Bi2 0.2072 0.1581 0.5830  6 Y 3.12-3.32
Bi3 0.7928 0.8419 0.4170  6 Y 3.12-3.32
Bi4 0.8419 0.7928 0.9170  6 Y 3.12-3.32
N1 0.4448 0.5552 0.7500  5 Y 2.33-2.51
N2 0.5552 0.4448 0.2500  5 Y 2.33-2.51